Computed, not measured: a relaxed LaCrNiO6 crystal at the PBE with a Hubbard U level of DFT.

Unit cell a=4.1838 b=5.4158 c=5.7408 alpha=62.84 beta=76.09 gamma=88.49
With the nearest neighbours (Å) after each atom.
Space group P1 (No. 1)
Asymmetric unit:
La (0.0000, 0.0000, 0.0000) [1 per cell]  7 O 2.40-2.64
Cr (0.3215, 0.3415, 0.2845) [1 per cell]  2 O 1.64-1.80
Ni (0.5091, 0.6455, 0.7160) [1 per cell]  5 O 1.97-2.14
O (0.1811, 0.4902, 0.5680) [1 per cell]  1 O 1.46
O (0.3649, 0.0331, 0.5794) [1 per cell]  1 Cr 1.80, 1 Ni 2.01
O (0.5020, 0.2409, 0.0104) [1 per cell]  1 Cr 1.88, 1 Ni 2.06
O (0.5119, 0.7000, 0.0465) [1 per cell]  1 Cr 1.85, 1 Ni 2.05
O (0.9430, 0.3309, 0.2542) [1 per cell]  1 Cr 1.64
O (0.9531, 0.7016, 0.4728) [1 per cell]  1 O 1.46

Summary:
Electronic total energy (eV/atom): -6.5902